# Li2Cu2Au GGA-PBE optimized geometry
# E_tot	-3.104	eV per atom
# total magnetization	0.00	μB per formula unit
# energy relative to the elements	-4.2	kJ/mol of atoms
data_Li2Cu2Au
_chemical_formula_sum 'Li4 Cu4 Au2'
_symmetry_space_group_name_H-M 'P 4/m b m'
_symmetry_Int_Tables_number 127
_symmetry_space_group_name_Hall '-P 4 2ab'
_cell_length_a 7.113
_cell_length_b 7.113
_cell_length_c 2.705
_cell_angle_alpha 90.00
_cell_angle_beta 90.00
_cell_angle_gamma 90.00
loop_
_atom_site_label
_atom_site_fract_x
_atom_site_fract_y
_atom_site_fract_z
Li1 0.166 0.334 0.000
Cu1 0.127 0.627 0.500
Au1 0.000 0.000 0.000